Below is an optimized crystal structure of Zn2IrSe, with properties calculated at the PBE level.

Lattice parameters (Å, degrees): 3.1169 3.1169 24.0837 90.00 90.00 120.00
Space group R3m (No. 160, hexagonal axes)
Asymmetric unit:
Zn: 0.0000 0.0000 0.0000
Zn: 0.0000 0.0000 0.2509
Ir: 0.0000 0.0000 0.5023
Se: 0.0000 0.0000 0.7630

M_tot = 0.0 μB per cell
Formation energy without anion corrections = 0.1411 eV/atom